No. 1
! TbPmDy2Tl4, optimized geometry, DFT GGA-PBE; values from VASP
! energy of formation from the pure elements: -0.352 eV per atom
! crystal system: trigonal
! magnetization: 0.000 μB per cell
! VASP energy: -3.86 eV per atom
! space-group type: R-3m
&SYSTEM
  ibrav = 0, nat = 8, ntyp = 4
/
ATOMIC_SPECIES
Tb 158.93 Tb.upf
Pm 145.00 Pm.upf
Dy 162.50 Dy.upf
Tl 204.38 Tl.upf
ATOMIC_POSITIONS angstrom
Tb 0.0000 0.0000 0.0000
Pm 0.0000 0.0000 13.2523
Dy 0.0000 0.0000 6.6352
Dy 0.0000 0.0000 19.8694
Tl 0.0000 0.0000 3.2890
Tl 0.0000 0.0000 9.9160
Tl 0.0000 0.0000 16.5886
Tl 0.0000 0.0000 23.2156
CELL_PARAMETERS angstrom
2.7002 1.5590 8.8349
-2.7002 1.5590 8.8349
0.0000 -3.1179 8.8349



No. 2
! Tb2Pm3Dy6Tl, optimized geometry, DFT GGA-PBE; values from VASP
! energy of formation from the pure elements: -0.016 eV per atom
! crystal system: monoclinic
! magnetization: 0.001 μB per cell
! VASP energy: -4.47 eV per atom
! space-group type: C2/m
&SYSTEM
  ibrav = 0, nat = 12, ntyp = 4
/
ATOMIC_SPECIES
Tb 158.93 Tb.upf
Pm 145.00 Pm.upf
Dy 162.50 Dy.upf
Tl 204.38 Tl.upf
ATOMIC_POSITIONS angstrom
Tb 3.0702 3.5530 0.0000
Tb 3.0702 -3.5530 0.0000
Pm -1.0312 0.0000 5.7613
Pm 2.0390 1.7798 5.7613
Pm 2.0390 -1.7798 5.7613
Dy 0.0085 1.7467 8.7007
Dy 1.0437 0.0000 2.8381
Dy 0.0085 -1.7467 8.7007
Dy 4.0694 1.7467 2.8220
Dy 3.0343 0.0000 8.6846
Dy 4.0694 -1.7467 2.8220
Tl 3.0702 0.0000 0.0000
CELL_PARAMETERS angstrom
3.0702 -5.3218 0.0000
3.0702 5.3218 0.0000
-2.0625 0.0000 11.5227



No. 3
! TbPm2Dy2Tm2, optimized geometry, DFT GGA-PBE; values from VASP
! energy of formation from the pure elements: 0.086 eV per atom
! crystal system: monoclinic
! magnetization: 0.000 μB per cell
! VASP energy: -4.52 eV per atom
! space-group type: C2/m
&SYSTEM
  ibrav = 0, nat = 7, ntyp = 4
/
ATOMIC_SPECIES
Tb 158.93 Tb.upf
Pm 145.00 Pm.upf
Dy 162.50 Dy.upf
Tm 168.93 Tm.upf
ATOMIC_POSITIONS angstrom
Tb 0.0000 0.0000 0.0000
Pm 2.2194 0.0000 4.6247
Pm 5.5301 0.0000 6.4927
Dy 2.3828 0.0000 8.1252
Dy 5.3667 0.0000 2.9922
Tm -0.7425 0.0000 9.6036
Tm 8.4919 0.0000 1.5138
CELL_PARAMETERS angstrom
5.8281 -1.7547 0.0000
5.8281 1.7547 0.0000
-3.9067 0.0000 11.1174



No. 4
! Tb5Pm2DyTm, optimized geometry, DFT GGA-PBE; values from VASP
! energy of formation from the pure elements: 0.281 eV per atom
! crystal system: tetragonal
! magnetization: 0.000 μB per cell
! VASP energy: -4.36 eV per atom
! space-group type: I4/mcm
&SYSTEM
  ibrav = 0, nat = 18, ntyp = 4
/
ATOMIC_SPECIES
Tb 158.93 Tb.upf
Pm 145.00 Pm.upf
Dy 162.50 Dy.upf
Tm 168.93 Tm.upf
ATOMIC_POSITIONS angstrom
Tb 0.0000 0.0000 0.0000
Tb 6.1267 1.8318 -2.2324
Tb 1.8318 2.4631 -2.2324
Tb 6.1267 1.8318 2.2324
Tb 1.8318 2.4631 2.2324
Tb 0.0000 0.0000 7.9309
Tb 2.4631 1.8318 5.6985
Tb -1.8318 2.4631 5.6985
Tb 2.4631 1.8318 10.1633
Tb -1.8318 2.4631 10.1633
Pm 3.2787 1.0162 0.0000
Pm 3.2787 -1.0162 7.9309
Pm 1.0162 5.3111 0.0000
Pm 1.0162 3.2787 7.9309
Dy 0.0000 0.0000 3.9654
Dy 0.0000 0.0000 11.8963
Tm 4.2949 0.0000 3.9654
Tm 0.0000 4.2949 3.9654
CELL_PARAMETERS angstrom
-4.2949 4.2949 7.9309
4.2949 -4.2949 7.9309
4.2949 4.2949 -7.9309



No. 5
! Tb6Pm2DyTm3, optimized geometry, DFT GGA-PBE; values from VASP
! energy of formation from the pure elements: 0.018 eV per atom
! crystal system: monoclinic
! magnetization: 0.000 μB per cell
! VASP energy: -4.59 eV per atom
! space-group type: C2/m
&SYSTEM
  ibrav = 0, nat = 12, ntyp = 4
/
ATOMIC_SPECIES
Tb 158.93 Tb.upf
Pm 145.00 Pm.upf
Dy 162.50 Dy.upf
Tm 168.93 Tm.upf
ATOMIC_POSITIONS angstrom
Tb 0.0088 1.7740 8.7410
Tb 1.0220 0.0000 2.8559
Tb 0.0088 -1.7740 8.7410
Tb 4.1074 1.7740 2.8572
Tb 3.0942 0.0000 8.7424
Tb 4.1074 -1.7740 2.8572
Pm 2.0581 1.7770 5.7991
Pm 2.0581 -1.7770 5.7991
Dy -1.0222 0.0000 5.7991
Tm 3.0803 3.5562 0.0000
Tm 3.0803 0.0000 0.0000
Tm 3.0803 -3.5562 0.0000
CELL_PARAMETERS angstrom
3.0803 -5.3307 0.0000
3.0803 5.3307 0.0000
-2.0444 0.0000 11.5983



No. 6
! TbPm2Dy4Tm, optimized geometry, DFT GGA-PBE; values from VASP
! energy of formation from the pure elements: 0.428 eV per atom
! crystal system: orthorhombic
! magnetization: 5.952 μB per cell
! VASP energy: -4.20 eV per atom
! space-group type: Imma
&SYSTEM
  ibrav = 0, nat = 16, ntyp = 4
/
ATOMIC_SPECIES
Tb 158.93 Tb.upf
Pm 145.00 Pm.upf
Dy 162.50 Dy.upf
Tm 168.93 Tm.upf
ATOMIC_POSITIONS angstrom
Tb 0.0000 0.0000 0.0000
Tb 0.0000 5.8966 0.0000
Pm 3.4003 0.0000 0.0000
Pm -1.7001 2.9483 3.3133
Pm 0.0000 0.0000 6.6265
Pm 1.7001 2.9483 3.3133
Dy 1.6937 2.9483 -0.0601
Dy 3.4003 5.8479 -3.3277
Dy 1.7066 -2.9483 6.5664
Dy 3.4003 -0.0487 3.3277
Dy 0.0000 5.9453 3.2988
Dy 1.6937 8.8449 0.0601
Dy 0.0000 0.0487 9.9542
Dy 1.7066 2.9483 6.6866
Tm 1.7001 2.9483 -3.3133
Tm 1.7001 -2.9483 3.3133
CELL_PARAMETERS angstrom
-3.4003 5.8966 6.6265
3.4003 -5.8966 6.6265
3.4003 5.8966 -6.6265



No. 7
! Tb2PmDyTm5, optimized geometry, DFT GGA-PBE; values from VASP
! energy of formation from the pure elements: 0.285 eV per atom
! crystal system: tetragonal
! magnetization: 0.000 μB per cell
! VASP energy: -4.27 eV per atom
! space-group type: I4/mcm
&SYSTEM
  ibrav = 0, nat = 18, ntyp = 4
/
ATOMIC_SPECIES
Tb 158.93 Tb.upf
Pm 145.00 Pm.upf
Dy 162.50 Dy.upf
Tm 168.93 Tm.upf
ATOMIC_POSITIONS angstrom
Tb 5.3939 1.0014 0.0000
Tb 1.0014 3.3912 0.0000
Tb 3.3912 1.0014 7.3778
Tb -1.0014 3.3912 7.3778
Pm 0.0000 0.0000 3.6889
Pm 0.0000 0.0000 11.0667
Dy 4.3925 0.0000 3.6889
Dy 0.0000 4.3925 3.6889
Tm 0.0000 0.0000 0.0000
Tm 2.5784 1.8141 -1.9742
Tm 2.5784 -1.8141 5.4036
Tm 2.5784 1.8141 1.9742
Tm 2.5784 -1.8141 9.3520
Tm 0.0000 0.0000 7.3778
Tm 1.8141 6.2066 -1.9742
Tm 1.8141 2.5784 5.4036
Tm 1.8141 6.2066 1.9742
Tm 1.8141 2.5784 9.3520
CELL_PARAMETERS angstrom
-4.3925 4.3925 7.3778
4.3925 -4.3925 7.3778
4.3925 4.3925 -7.3778



No. 8
! Tb3Pm2DyTm6, optimized geometry, DFT GGA-PBE; values from VASP
! energy of formation from the pure elements: 0.020 eV per atom
! crystal system: monoclinic
! magnetization: 0.000 μB per cell
! VASP energy: -4.55 eV per atom
! space-group type: C2/m
&SYSTEM
  ibrav = 0, nat = 12, ntyp = 4
/
ATOMIC_SPECIES
Tb 158.93 Tb.upf
Pm 145.00 Pm.upf
Dy 162.50 Dy.upf
Tm 168.93 Tm.upf
ATOMIC_POSITIONS angstrom
Tb 0.0000 0.0000 0.0000
Tb 3.0671 1.7692 0.0000
Tb 3.0671 -1.7692 0.0000
Pm 2.0486 3.5407 5.7427
Pm 2.0486 -3.5407 5.7427
Dy 2.0486 0.0000 5.7427
Tm 1.0221 1.7678 2.8564
Tm 0.0118 0.0000 8.6324
Tm 1.0221 -1.7678 2.8564
Tm 3.0751 1.7678 8.6291
Tm 4.0854 0.0000 2.8531
Tm 3.0751 -1.7678 8.6291
CELL_PARAMETERS angstrom
3.0671 -5.3084 0.0000
3.0671 5.3084 0.0000
-2.0371 0.0000 11.4855



No. 9
! Tb3Pm2Dy6Tm, optimized geometry, DFT GGA-PBE; values from VASP
! energy of formation from the pure elements: 0.015 eV per atom
! crystal system: monoclinic
! magnetization: 0.000 μB per cell
! VASP energy: -4.61 eV per atom
! space-group type: C2/m
&SYSTEM
  ibrav = 0, nat = 12, ntyp = 4
/
ATOMIC_SPECIES
Tb 158.93 Tb.upf
Pm 145.00 Pm.upf
Dy 162.50 Dy.upf
Tm 168.93 Tm.upf
ATOMIC_POSITIONS angstrom
Tb 0.0000 0.0000 0.0000
Tb 3.0824 1.7758 0.0000
Tb 3.0824 -1.7758 0.0000
Pm 2.0611 3.5583 5.8093
Pm 2.0611 -3.5583 5.8093
Dy 1.0307 1.7737 2.8934
Dy 0.0173 0.0000 8.7297
Dy 1.0307 -1.7737 2.8934
Dy 3.0914 1.7737 8.7253
Dy 4.1049 0.0000 2.8890
Dy 3.0914 -1.7737 8.7253
Tm 2.0611 0.0000 5.8093
CELL_PARAMETERS angstrom
3.0824 -5.3346 0.0000
3.0824 5.3346 0.0000
-2.0426 0.0000 11.6186



No. 10
! Tb2Pm6DyTm, optimized geometry, DFT GGA-PBE; values from VASP
! energy of formation from the pure elements: 0.116 eV per atom
! crystal system: monoclinic
! magnetization: 0.001 μB per cell
! VASP energy: -4.57 eV per atom
! space-group type: C2/c
&SYSTEM
  ibrav = 0, nat = 20, ntyp = 4
/
ATOMIC_SPECIES
Tb 158.93 Tb.upf
Pm 145.00 Pm.upf
Dy 162.50 Dy.upf
Tm 168.93 Tm.upf
ATOMIC_POSITIONS angstrom
Tb 1.7521 0.7725 4.3238
Tb 1.1581 -0.7725 9.0791
Tb 6.8644 0.7725 0.4315
Tb 6.2705 -0.7725 5.1868
Pm 2.6259 5.9900 8.3933
Pm 1.8421 3.4049 6.5492
Pm 4.8027 5.9900 5.8726
Pm 3.9992 2.7532 0.5186
Pm 4.6173 2.7532 4.2367
Pm 5.5865 3.4049 7.7167
Pm 2.4360 -3.4049 1.7939
Pm 3.4053 -2.7532 5.2740
Pm 4.0233 -2.7532 8.9920
Pm 3.2199 -5.9900 3.6380
Pm 6.1805 -3.4049 2.9614
Pm 5.3966 -5.9900 1.1173
Dy 3.7143 0.4002 7.1330
Dy 4.3083 -0.4002 2.3777
Tm 4.3083 6.2901 2.3777
Tm 3.7143 -6.2901 7.1330
CELL_PARAMETERS angstrom
4.6052 -7.6506 0.0000
4.6052 7.6506 0.0000
-1.1879 0.0000 9.5106